No. 1
VASP calculation (PBE-GGA) on a geometry-optimized TbPAuO structure.

The structure belongs to space group P4/nmm (No. 129, origin choice 2); the cell edges are 4.048, 4.048 and 8.346 Å and the angles 90.00°, 90.00° and 90.00°. The asymmetric unit holds Tb at (0.250, 0.250, 0.127), P at (0.250, 0.250, 0.689), Au at (0.250, 0.750, 0.500) and O at (0.250, 0.750, 0.000).

As for the energy above the most stable polymorph in this dataset: 0.000 eV per atom. The magnetization is 0.01 Bohr magnetons per cell. For the raw total energy, the calculation gives -49.19 eV for the cell shown. The crystal system is tetragonal.



No. 2
VASP calculation (PBE-GGA) on a geometry-optimized TbPAuO structure.

The structure belongs to space group Pmc2_1 (No. 26); the cell edges are 4.738, 6.321 and 4.582 Å and the angles 90.00°, 90.00° and 90.00°. The asymmetric unit holds Tb at (0.000, 0.217, 0.000), P at (0.500, 0.495, 0.758), Au at (0.500, 0.130, 0.502) and O at (0.000, 0.133, 0.498).

As for the energy above the most stable polymorph in this dataset: 0.314 eV per atom. The magnetization is 0.00 Bohr magnetons per cell. For the raw total energy, the calculation gives -46.68 eV for the cell shown. The crystal system is orthorhombic.